The following is a PBE calculation of an optimized crystal structure of Ba6AsS4, from Alexandria via LeMat-Bulk.

Lattice parameters (Å, degrees): 4.584 7.836 23.072 90.00 90.00 107.01
Atoms (fractional coordinates):
Ba 0.775 0.551 0.083
S 0.862 0.724 0.542
S 0.862 0.724 0.958
S 0.592 0.184 0.625
Ba 0.225 0.449 0.583
S 0.408 0.816 0.125
Ba 0.500 0.000 0.000
As 0.342 0.685 0.750
Ba 0.952 0.904 0.665
Ba 0.048 0.096 0.335
S 0.408 0.816 0.375
Ba 0.952 0.904 0.835
S 0.138 0.276 0.458
Ba 0.683 0.366 0.750
Ba 0.048 0.096 0.165
As 0.658 0.315 0.250
Ba 0.317 0.634 0.250
Ba 0.225 0.449 0.917
Ba 0.775 0.551 0.417
S 0.138 0.276 0.042
Ba 0.500 0.000 0.500
S 0.592 0.184 0.875

Summary:
- Symmetry: Cmcm (63)
- DOS(E_F): 7.85 states/eV/cell
- Formation energy (no corrections): -1.73 eV/atom
- M_tot: 0.068 μB per atom
- Total DFT energy (no corrections): -103.4 eV/cell